(1)
A plane-wave DFT calculation with PBE was carried out for crystalline CsBeOs2O8 at its relaxed geometry.

Unit cell a=5.265 b=5.265 c=8.840 alpha=90.00 beta=90.00 gamma=120.00
Fractional positions:
Cs: 0.000 0.000 0.000
Be: 0.000 0.000 0.500
Os: 0.333 0.667 0.683
Os: 0.667 0.333 0.317
O: 0.058 0.308 0.623
O: 0.251 0.942 0.623
O: 0.308 0.251 0.377
O: 0.333 0.667 0.884
O: 0.667 0.333 0.116
O: 0.692 0.749 0.623
O: 0.749 0.058 0.377
O: 0.942 0.692 0.377

Properties
**Uncorrected energy**: -6.751 eV per atom
**M_tot**: 3.01 Bohr magnetons per cell
**Formation energy from raw total energies**: -1.192 eV/atom
**Mass density**: 5.1 g/cm³

=====

(2)
A plane-wave DFT calculation with PBE was carried out for crystalline CsBePO4 at its relaxed geometry.

Unit cell a=4.433 b=7.239 c=8.217 alpha=90.00 beta=105.00 gamma=90.00
Fractional positions:
Cs: 0.100 0.250 0.290
Cs: 0.900 0.750 0.710
Be: 0.129 0.250 0.760
Be: 0.871 0.750 0.240
P: 0.374 0.750 0.243
P: 0.626 0.250 0.757
O: 0.071 0.750 0.095
O: 0.211 0.750 0.391
O: 0.394 0.087 0.755
O: 0.394 0.413 0.755
O: 0.606 0.587 0.245
O: 0.606 0.913 0.245
O: 0.789 0.250 0.609
O: 0.929 0.250 0.905

Properties
**Energy above the lowest structure with this stoichiometry**: 129 meV/atom
**Uncorrected energy**: -6.611 eV per atom
**M_tot**: 0.00 Bohr magnetons per cell
**Formation energy from raw total energies**: -2.350 eV/atom
**Mass density**: 3.1 g/cm³

=====

(3)
A plane-wave DFT calculation with PBE was carried out for crystalline CsBePO4 at its relaxed geometry.

Unit cell a=8.855 b=5.191 c=8.940 alpha=90.00 beta=90.00 gamma=90.00
Fractional positions:
Cs: 0.009 0.250 0.194
Cs: 0.491 0.750 0.694
Cs: 0.509 0.250 0.306
Cs: 0.991 0.750 0.806
Be: 0.172 0.750 0.408
Be: 0.328 0.250 0.908
Be: 0.672 0.750 0.092
Be: 0.828 0.250 0.592
P: 0.183 0.250 0.582
P: 0.317 0.750 0.082
P: 0.683 0.250 0.918
P: 0.817 0.750 0.418
O: 0.011 0.250 0.604
O: 0.235 0.008 0.494
O: 0.235 0.492 0.494
O: 0.238 0.750 0.236
O: 0.262 0.250 0.736
O: 0.265 0.508 0.994
O: 0.265 0.992 0.994
O: 0.489 0.750 0.104
O: 0.511 0.250 0.896
O: 0.735 0.008 0.006
O: 0.735 0.492 0.006
O: 0.738 0.750 0.264
O: 0.762 0.250 0.764
O: 0.765 0.508 0.506
O: 0.765 0.992 0.506
O: 0.989 0.750 0.396

Properties
**Energy above the lowest structure with this stoichiometry**: 0 meV/atom
**Uncorrected energy**: -6.740 eV per atom
**M_tot**: 0.00 Bohr magnetons per cell
**Formation energy from raw total energies**: -2.479 eV/atom
**Mass density**: 3.8 g/cm³

=====

(4)
A plane-wave DFT calculation with PBE was carried out for crystalline CsPa3Be4O12 at its relaxed geometry.

Unit cell a=6.832 b=6.832 c=6.832 alpha=101.55 beta=101.55 gamma=101.55
Fractional positions:
Cs: 0.000 0.000 0.000
Pa: 0.000 0.550 0.450
Pa: 0.450 0.000 0.550
Pa: 0.550 0.450 0.000
Be: 0.052 0.500 0.948
Be: 0.500 0.500 0.500
Be: 0.500 0.948 0.052
Be: 0.948 0.052 0.500
O: 0.004 0.586 0.757
O: 0.097 0.903 0.500
O: 0.243 0.414 0.996
O: 0.352 0.648 0.500
O: 0.414 0.996 0.243
O: 0.500 0.097 0.903
O: 0.500 0.352 0.648
O: 0.586 0.757 0.004
O: 0.648 0.500 0.352
O: 0.757 0.004 0.586
O: 0.903 0.500 0.097
O: 0.996 0.243 0.414

Properties
**Uncorrected energy**: -8.201 eV per atom
**M_tot**: 0.00 Bohr magnetons per cell
**Formation energy from raw total energies**: -3.014 eV/atom
**Mass density**: 5.9 g/cm³

=====

(5)
A plane-wave DFT calculation with PBE was carried out for crystalline Cs2PaBe2O6 at its relaxed geometry.

Unit cell a=7.598 b=7.598 c=7.598 alpha=44.60 beta=44.60 gamma=44.60
Fractional positions:
Cs: 0.212 0.212 0.212
Cs: 0.788 0.788 0.788
Pa: 0.000 0.000 0.000
Be: 0.393 0.393 0.393
Be: 0.607 0.607 0.607
O: 0.240 0.240 0.705
O: 0.240 0.705 0.240
O: 0.295 0.760 0.760
O: 0.705 0.240 0.240
O: 0.760 0.295 0.760
O: 0.760 0.760 0.295

Properties
**Uncorrected energy**: -6.894 eV per atom
**M_tot**: 0.00 Bohr magnetons per cell
**Formation energy from raw total energies**: -2.494 eV/atom
**Mass density**: 5.2 g/cm³

=====

(6)
A plane-wave DFT calculation with PBE was carried out for crystalline CsPaBe2O6 at its relaxed geometry.

Unit cell a=6.977 b=6.977 c=5.710 alpha=96.00 beta=96.00 gamma=99.64
Fractional positions:
Cs: 0.086 0.914 0.750
Cs: 0.914 0.086 0.250
Pa: 0.316 0.684 0.250
Pa: 0.684 0.316 0.750
Be: 0.222 0.372 0.815
Be: 0.372 0.222 0.315
Be: 0.628 0.778 0.685
Be: 0.778 0.628 0.185
O: 0.016 0.670 0.253
O: 0.278 0.358 0.126
O: 0.300 0.616 0.845
O: 0.330 0.984 0.247
O: 0.358 0.278 0.626
O: 0.384 0.700 0.655
O: 0.616 0.300 0.345
O: 0.642 0.722 0.374
O: 0.670 0.016 0.753
O: 0.700 0.384 0.155
O: 0.722 0.642 0.874
O: 0.984 0.330 0.747

Properties
**Uncorrected energy**: -7.117 eV per atom
**M_tot**: 0.00 Bohr magnetons per cell
**Formation energy from raw total energies**: -2.362 eV/atom
**Mass density**: 5.9 g/cm³

=====

(7)
A plane-wave DFT calculation with PBE was carried out for crystalline CsPaBeO4 at its relaxed geometry.

Unit cell a=5.357 b=5.555 c=8.066 alpha=90.00 beta=107.27 gamma=90.00
Fractional positions:
Cs: 0.225 0.250 0.434
Cs: 0.775 0.750 0.566
Pa: 0.302 0.750 0.042
Pa: 0.698 0.250 0.958
Be: 0.136 0.250 0.848
Be: 0.864 0.750 0.152
O: 0.112 0.250 0.051
O: 0.170 0.750 0.266
O: 0.327 0.020 0.839
O: 0.327 0.480 0.839
O: 0.673 0.520 0.161
O: 0.673 0.980 0.161
O: 0.830 0.250 0.734
O: 0.888 0.750 0.949

Properties
**Uncorrected energy**: -7.726 eV per atom
**M_tot**: 0.00 Bohr magnetons per cell
**Formation energy from raw total energies**: -2.882 eV/atom
**Mass density**: 6.3 g/cm³

=====

(8)
A plane-wave DFT calculation with PBE was carried out for crystalline CsPa2BeO8 at its relaxed geometry.

Unit cell a=4.770 b=4.770 c=9.586 alpha=90.00 beta=90.00 gamma=120.00
Fractional positions:
Cs: 0.000 0.000 0.000
Pa: 0.333 0.667 0.363
Pa: 0.667 0.333 0.637
Be: 0.000 0.000 0.500
O: 0.167 0.334 0.616
O: 0.167 0.833 0.616
O: 0.333 0.667 0.164
O: 0.334 0.167 0.384
O: 0.666 0.833 0.616
O: 0.667 0.333 0.836
O: 0.833 0.167 0.384
O: 0.833 0.666 0.384

Properties
**Uncorrected energy**: -7.635 eV per atom
**M_tot**: 1.52 Bohr magnetons per cell
**Formation energy from raw total energies**: -2.365 eV/atom
**Mass density**: 6.4 g/cm³

=====

(9)
A plane-wave DFT calculation with PBE was carried out for crystalline Cs3PaBe2O6 at its relaxed geometry.

Unit cell a=5.845 b=5.845 c=7.763 alpha=90.00 beta=90.00 gamma=120.00
Fractional positions:
Cs: 0.000 0.000 0.000
Cs: 0.333 0.667 0.764
Cs: 0.667 0.333 0.236
Pa: 0.000 0.000 0.500
Be: 0.333 0.667 0.335
Be: 0.667 0.333 0.665
O: 0.178 0.356 0.334
O: 0.178 0.822 0.334
O: 0.356 0.178 0.666
O: 0.644 0.822 0.334
O: 0.822 0.178 0.666
O: 0.822 0.644 0.666

Properties
**Uncorrected energy**: -6.587 eV per atom
**M_tot**: 0.00 Bohr magnetons per cell
**Formation energy from raw total energies**: -2.483 eV/atom
**Mass density**: 5.4 g/cm³

=====

(10)
A plane-wave DFT calculation with PBE was carried out for crystalline CsPr2Be2O6 at its relaxed geometry.

Unit cell a=6.391 b=6.391 c=6.462 alpha=115.03 beta=115.03 gamma=60.12
Fractional positions:
Cs: 0.000 0.000 0.000
Pr: 0.323 0.323 0.698
Pr: 0.677 0.677 0.302
Be: 0.351 0.351 0.264
Be: 0.649 0.649 0.736
O: 0.105 0.499 0.343
O: 0.431 0.431 0.128
O: 0.499 0.105 0.343
O: 0.501 0.895 0.657
O: 0.569 0.569 0.872
O: 0.895 0.501 0.657

Properties
**Uncorrected energy**: -6.833 eV per atom
**M_tot**: 1.05 Bohr magnetons per cell
**Formation energy from raw total energies**: -2.504 eV/atom
**Mass density**: 4.4 g/cm³

=====

(11)
A plane-wave DFT calculation with PBE was carried out for crystalline CsPuBeO6 at its relaxed geometry.

Unit cell a=5.041 b=5.041 c=6.889 alpha=90.00 beta=90.00 gamma=120.00
Fractional positions:
Cs: 0.000 0.000 0.000
Pu: 0.667 0.333 0.500
Be: 0.333 0.667 0.500
O: 0.014 0.391 0.342
O: 0.014 0.623 0.658
O: 0.377 0.391 0.658
O: 0.377 0.986 0.342
O: 0.609 0.623 0.342
O: 0.609 0.986 0.658

Properties
**Uncorrected energy**: -7.152 eV per atom
**M_tot**: 1.07 Bohr magnetons per cell
**Formation energy from raw total energies**: -1.745 eV/atom
**Mass density**: 5.3 g/cm³

=====

(12)
A plane-wave DFT calculation with PBE was carried out for crystalline CsPuBeO4 at its relaxed geometry.

Unit cell a=5.315 b=5.447 c=7.788 alpha=90.00 beta=93.16 gamma=90.00
Fractional positions:
Cs: 0.240 0.250 0.086
Cs: 0.760 0.750 0.914
Pu: 0.219 0.750 0.466
Pu: 0.781 0.250 0.534
Be: 0.308 0.250 0.649
Be: 0.692 0.750 0.351
O: 0.113 0.018 0.661
O: 0.113 0.482 0.661
O: 0.406 0.250 0.448
O: 0.420 0.750 0.243
O: 0.580 0.250 0.757
O: 0.594 0.750 0.552
O: 0.887 0.518 0.339
O: 0.887 0.982 0.339

Properties
**Uncorrected energy**: -7.957 eV per atom
**M_tot**: 6.00 Bohr magnetons per cell
**Formation energy from raw total energies**: -2.422 eV/atom
**Mass density**: 6.6 g/cm³